Record 1
VASP calculation (PBE) on a relaxed structure of HoAgS2.

Unit cell a=6.8161 b=6.8161 c=6.8161 alpha=37.51 beta=37.51 gamma=37.51
With the nearest neighbours (Å) after each atom.
Fractional coordinates of all 4 atoms:
Ho 0.0000 0.0000 0.0000  4 S 2.50-2.65
Ag 0.4746 0.4746 0.4746  3 S 2.54
S 0.1318 0.1318 0.1318  1 Ho 2.50, 3 Ag 2.54
S 0.6257 0.6257 0.6257  3 Ho 2.65, 1 Ag 2.87

**Crystal system**: trigonal
**Uncorrected formation energy**: -1124 meV/atom
**SG**: R3m (160)



Record 2
VASP calculation (PBE) on a relaxed structure of BaZr2Pb.

Unit cell a=5.9061 b=5.9061 c=5.9061 alpha=132.10 beta=132.10 gamma=70.08
With the nearest neighbours (Å) after each atom.
Fractional coordinates of all 4 atoms:
Ba 0.0000 0.0000 0.0000  8 Zr 3.39-3.41, 4 Pb 3.41
Zr 0.5000 0.5000 0.0000  4 Ba 3.39, 4 Zr 3.41, 4 Pb 3.41
Zr 0.7500 0.2500 0.5000  4 Pb 3.39, 4 Ba 3.41, 4 Zr 3.41
Pb 0.2500 0.7500 0.5000  8 Zr 3.39-3.41, 4 Ba 3.41

**Crystal system**: tetragonal
**Raw total energy**: -0.393 Ry per atom
**SG**: I-4m2 (119)



The calculation returns the following size of the total moment values, one per record and in order: 0.00, 0.00 μB per atom.